w.
Density functional theory data (PBE) for an optimized crystal structure of BC2.

abc: 2.492 2.555 12.032
angles: 90.00 90.00 90.00
Fractional coordinates of all 12 atoms:
B: 0.000 0.000 0.000
B: 0.000 0.000 0.341
B: 0.500 0.000 0.883
B: 0.500 0.500 0.168
C: 0.000 0.000 0.651
C: 0.000 0.500 0.078
C: 0.000 0.500 0.430
C: 0.000 0.500 0.728
C: 0.500 0.000 0.254
C: 0.500 0.000 0.578
C: 0.500 0.500 0.502
C: 0.500 0.500 0.800

Space group: No. 25
Crystal system: orthorhombic
Total magnetic moment (μB per formula unit): 0.00

x.
Density functional theory data (PBE) for an optimized crystal structure of BC2.

abc: 6.227 6.227 5.115
angles: 101.54 101.54 23.12
Fractional coordinates of all 12 atoms:
B: 0.000 0.000 0.000
B: 0.010 0.010 0.498
B: 0.323 0.323 0.672
B: 0.407 0.407 0.425
C: 0.090 0.090 0.794
C: 0.094 0.094 0.285
C: 0.320 0.320 0.146
C: 0.407 0.407 0.956
C: 0.663 0.663 0.828
C: 0.667 0.667 0.324
C: 0.737 0.737 0.612
C: 0.745 0.745 0.110

Space group: No. 8
Crystal system: monoclinic
Total magnetic moment (μB per formula unit): 0.00

The structure with the least stability is x.

w.
Density functional theory data (PBE) for an optimized crystal structure of BaZn3Rh.

abc: 12.593 12.593 12.593
angles: 158.43 158.43 30.69
Fractional coordinates of all 10 atoms:
Ba: 0.000 0.000 0.000
Ba: 0.750 0.250 0.500
Zn: 0.374 0.126 0.248
Zn: 0.407 0.407 0.000
Zn: 0.593 0.593 0.000
Zn: 0.874 0.122 0.248
Zn: 0.874 0.626 0.752
Zn: 0.878 0.126 0.752
Rh: 0.123 0.623 0.500
Rh: 0.377 0.877 0.500

Space group: No. 119
Crystal system: tetragonal
Total magnetic moment (μB per formula unit): 0.00

x.
Density functional theory data (PBE) for an optimized crystal structure of BaZn3Rh.

abc: 7.585 7.219 8.845
angles: 90.00 103.76 90.00
Fractional coordinates of all 20 atoms:
Ba: 0.168 0.082 0.202
Ba: 0.168 0.418 0.702
Ba: 0.832 0.582 0.298
Ba: 0.832 0.918 0.798
Zn: 0.137 0.602 0.057
Zn: 0.137 0.898 0.557
Zn: 0.384 0.565 0.361
Zn: 0.384 0.935 0.861
Zn: 0.447 0.106 0.605
Zn: 0.447 0.394 0.105
Zn: 0.553 0.606 0.895
Zn: 0.553 0.894 0.395
Zn: 0.616 0.065 0.139
Zn: 0.616 0.435 0.639
Zn: 0.863 0.102 0.443
Zn: 0.863 0.398 0.943
Rh: 0.438 0.747 0.618
Rh: 0.438 0.753 0.118
Rh: 0.562 0.247 0.882
Rh: 0.562 0.253 0.382

Space group: No. 14
Crystal system: monoclinic
Total magnetic moment (μB per formula unit): 0.00

The structure with the least stability is w.

w.
Density functional theory data (PBE) for an optimized crystal structure of PmMoN2.

abc: 5.843 3.297 10.772
angles: 90.00 90.00 90.00
Fractional coordinates of all 16 atoms:
Pm: 0.079 0.250 0.145
Pm: 0.421 0.750 0.645
Pm: 0.579 0.250 0.355
Pm: 0.921 0.750 0.855
Mo: 0.063 0.750 0.407
Mo: 0.437 0.250 0.907
Mo: 0.563 0.750 0.093
Mo: 0.937 0.250 0.593
N: 0.164 0.250 0.747
N: 0.246 0.250 0.489
N: 0.254 0.750 0.989
N: 0.336 0.750 0.247
N: 0.664 0.250 0.753
N: 0.746 0.250 0.011
N: 0.754 0.750 0.511
N: 0.836 0.750 0.253

Space group: No. 62
Crystal system: orthorhombic
Total magnetic moment (μB per formula unit): 0.00

x.
Density functional theory data (PBE) for an optimized crystal structure of PmMoN2.

abc: 5.739 5.739 5.739
angles: 33.30 33.30 33.30
Fractional coordinates of all 4 atoms:
Pm: 0.000 0.000 0.000
Mo: 0.500 0.500 0.500
N: 0.237 0.237 0.237
N: 0.763 0.763 0.763

Space group: No. 166
Crystal system: trigonal
Total magnetic moment (μB per formula unit): 0.00

The structure with the least stability is x.